PBE La2CuCl, optimized geometry; VASP energy = -19.33 eV for the cell shown; energy relative to the lowest polymorph listed for this composition = 0.00 eV/f.u.; Fermi-level density of states = 1.9 states/eV per cell; energy relative to the elements, uncorrected = -0.88 eV per atom
1.0
4.179 0.000 0.000
0.000 6.093 0.000
0.000 0.000 4.179
La Cu Cl
2 1 1
Direct
0.000 0.000 0.000 La
0.500 0.500 0.499 La
0.500 0.000 0.501 Cu
0.000 0.500 0.999 Cl